A relaxed PuNpU crystal, computed with GGA-PBE.

Cell and atoms, written as CIF:
```
data_PuNpU
_chemical_formula_sum 'Pu1 Np1 U1'
_cell_length_a 2.772
_cell_length_b 4.982
_cell_length_c 4.982
_cell_angle_alpha 120.00
_cell_angle_beta 90.00
_cell_angle_gamma 90.00
_symmetry_space_group_name_H-M 'P 1'
_symmetry_Int_Tables_number 1
loop_
_symmetry_equiv_pos_as_xyz
'x,y,z'
loop_
_atom_site_label
_atom_site_type_symbol
_atom_site_fract_x
_atom_site_fract_y
_atom_site_fract_z
Np1 Np 0.167 0.000 0.000
U1 U 0.167 0.667 0.333
Pu1 Pu 0.667 0.333 0.667
```

E in eV/atom: -12.560
ΔE to the lowest computed polymorph in meV/atom: 10.8
SG: P-6m2, No. 187
Calculated volume in Å³/atom: 19.864
Formation energy from the elements in eV/atom: 0.294